Record 1
Entry from the Open Quantum Materials Database: a relaxed structure of LiTmPdSe3 (GGA-PBE).

Structure (CIF):
```
data_LiTmPdSe3
_chemical_formula_sum 'Li4 Tm4 Pd4 Se12'
_space_group_name_H-M_alt 'C m c m'
_space_group_IT_number 63
_space_group_name_Hall '-C 2c 2'
_cell_length_a 3.882
_cell_length_b 13.897
_cell_length_c 10.075
_cell_angle_alpha 90.00
_cell_angle_beta 90.00
_cell_angle_gamma 90.00
loop_
_atom_site_label
_atom_site_type_symbol
_atom_site_fract_x
_atom_site_fract_y
_atom_site_fract_z
Li1 Li 0.000 0.207 0.250
Tm1 Tm 0.000 0.000 0.000
Pd1 Pd 0.000 0.492 0.750
Se1 Se 0.000 0.108 0.750
Se2 Se 0.000 0.361 0.577
```

Computed properties:
final energy = -113.59 eV per cell

***

Record 2
Entry from the Open Quantum Materials Database: a relaxed structure of PrHoAg2Bi4 (GGA-PBE).

Structure (CIF):
```
data_PrHoAg2Bi4
_chemical_formula_sum 'Pr1 Ho1 Ag2 Bi4'
_space_group_name_H-M_alt 'P 4 m m'
_space_group_IT_number 99
_cell_length_a 4.567
_cell_length_b 4.567
_cell_length_c 10.377
_cell_angle_alpha 90.00
_cell_angle_beta 90.00
_cell_angle_gamma 90.00
loop_
_space_group_symop_operation_xyz
'x,y,z'
'-y,x,z'
'-x,-y,z'
'y,-x,z'
'-x,y,z'
'y,x,z'
'x,-y,z'
'-y,-x,z'
loop_
_atom_site_label
_atom_site_type_symbol
_atom_site_fract_x
_atom_site_fract_y
_atom_site_fract_z
Pr1 Pr 0.000 0.000 0.000
Ho1 Ho 0.500 0.500 0.497
Ag1 Ag 0.000 0.500 0.742
Bi1 Bi 0.000 0.000 0.556
Bi2 Bi 0.000 0.500 0.253
Bi3 Bi 0.500 0.500 0.930
```

Computed properties:
final energy = -35.08 eV per cell

***

Record 3
Entry from the Open Quantum Materials Database: a relaxed structure of Pr3Y3Te2Os (GGA-PBE).

Structure (CIF):
```
data_Pr3Y3Te2Os
_chemical_formula_sum 'Pr3 Y3 Te2 Os1'
_space_group_name_H-M_alt 'P -6 2 m'
_space_group_IT_number 189
_space_group_name_Hall 'P -6 -2'
_cell_length_a 8.5835
_cell_length_b 8.5835
_cell_length_c 4.0137
_cell_angle_alpha 90.00
_cell_angle_beta 90.00
_cell_angle_gamma 120.00
loop_
_atom_site_label
_atom_site_type_symbol
_atom_site_fract_x
_atom_site_fract_y
_atom_site_fract_z
Pr1 Pr 0.0000 0.2449 0.0000
Y1 Y 0.0000 0.5998 0.5000
Te1 Te 0.3333 0.6667 0.0000
Os1 Os 0.0000 0.0000 0.5000
```

Computed properties:
final energy = -56.83 eV per cell

***

Record 4
Entry from the Open Quantum Materials Database: a relaxed structure of HgSb2Te (GGA-PBE).

Structure (CIF):
```
data_HgSb2Te
_chemical_formula_sum 'Hg4 Sb8 Te4'
_space_group_name_H-M_alt 'F -4 3 m'
_space_group_IT_number 216
_space_group_name_Hall 'F -4 2 3'
_cell_length_a 7.573
_cell_length_b 7.573
_cell_length_c 7.573
_cell_angle_alpha 90.00
_cell_angle_beta 90.00
_cell_angle_gamma 90.00
loop_
_atom_site_label
_atom_site_type_symbol
_atom_site_fract_x
_atom_site_fract_y
_atom_site_fract_z
Hg1 Hg 0.000 0.000 0.000
Sb1 Sb 0.000 0.000 0.500
Sb2 Sb 0.250 0.250 0.250
Te1 Te 0.250 0.250 0.750
```

Computed properties:
final energy = -43.22 eV per cell

***

Record 5
Entry from the Open Quantum Materials Database: a relaxed structure of SmReSn (GGA-PBE).

Structure (CIF):
```
data_SmReSn
_chemical_formula_sum 'Sm4 Re4 Sn4'
_space_group_name_H-M_alt 'F -4 3 m'
_space_group_IT_number 216
_space_group_name_Hall 'F -4 2 3'
_cell_length_a 6.904
_cell_length_b 6.904
_cell_length_c 6.904
_cell_angle_alpha 90.00
_cell_angle_beta 90.00
_cell_angle_gamma 90.00
loop_
_atom_site_label
_atom_site_type_symbol
_atom_site_fract_x
_atom_site_fract_y
_atom_site_fract_z
Sm1 Sm 0.000 0.000 0.000
Re1 Re 0.250 0.250 0.750
Sn1 Sn 0.250 0.250 0.250
```

Computed properties:
final energy = -70.05 eV per cell

***

Record 6
Entry from the Open Quantum Materials Database: a relaxed structure of TlCoOsW (GGA-PBE).

Structure (CIF):
```
data_TlCoOsW
_chemical_formula_sum 'Tl4 Co4 Os4 W4'
_space_group_name_H-M_alt 'F -4 3 m'
_space_group_IT_number 216
_space_group_name_Hall 'F -4 2 3'
_cell_length_a 6.325
_cell_length_b 6.325
_cell_length_c 6.325
_cell_angle_alpha 90.00
_cell_angle_beta 90.00
_cell_angle_gamma 90.00
loop_
_atom_site_label
_atom_site_type_symbol
_atom_site_fract_x
_atom_site_fract_y
_atom_site_fract_z
Tl1 Tl 0.000 0.000 0.000
Co1 Co 0.250 0.250 0.250
Os1 Os 0.250 0.250 0.750
W1 W 0.000 0.000 0.500
```

Computed properties:
final energy = -124.14 eV per cell